1.
Ir3PdC | PBE | optimized geometry

Output
* magnetic moment: 0.604 μB per cell
* raw total energy: -7.691 eV/atom

Lattice parameters (Å, degrees): 4.0899 4.0899 4.0899 90.00 90.00 90.00
Last column: nearest neighbours and their distance in Å.
Positions (direct):
1 Ir 0.0000 0.0000 0.5000  2 C 2.04
2 Ir 0.0000 0.5000 0.0000  2 C 2.04
3 Ir 0.5000 0.0000 0.0000  2 C 2.04
4 Pd 0.5000 0.5000 0.5000  12 Ir 2.89
5 C 0.0000 0.0000 0.0000  6 Ir 2.04

2.
CoCuReSb | PBE | optimized geometry

Output
* energy above the lowest structure with this stoichiometry: 0 meV/atom
* magnetic moment: 2.024 μB per cell
* raw total energy: -6.407 eV/atom

Lattice parameters (Å, degrees): 6.1368 6.1368 6.1368 90.00 90.00 90.00
Last column: nearest neighbours and their distance in Å.
Positions (direct):
1 Co 0.0000 0.0000 0.0000  4 Sb 2.66, 4 Cu 2.66
2 Co 0.0000 0.5000 0.5000  4 Sb 2.66, 4 Cu 2.66
3 Co 0.5000 0.0000 0.5000  4 Sb 2.66, 4 Cu 2.66
4 Co 0.5000 0.5000 0.0000  4 Sb 2.66, 4 Cu 2.66
5 Cu 0.2500 0.2500 0.2500  4 Co 2.66, 4 Re 2.66
6 Cu 0.2500 0.7500 0.7500  4 Co 2.66, 4 Re 2.66
7 Cu 0.7500 0.2500 0.7500  4 Co 2.66, 4 Re 2.66
8 Cu 0.7500 0.7500 0.2500  4 Co 2.66, 4 Re 2.66
9 Re 0.0000 0.0000 0.5000  4 Sb 2.66, 4 Cu 2.66
10 Re 0.0000 0.5000 0.0000  4 Sb 2.66, 4 Cu 2.66
11 Re 0.5000 0.0000 0.0000  4 Sb 2.66, 4 Cu 2.66
12 Re 0.5000 0.5000 0.5000  4 Sb 2.66, 4 Cu 2.66
13 Sb 0.2500 0.2500 0.7500  4 Co 2.66, 4 Re 2.66
14 Sb 0.2500 0.7500 0.2500  4 Co 2.66, 4 Re 2.66
15 Sb 0.7500 0.2500 0.2500  4 Co 2.66, 4 Re 2.66
16 Sb 0.7500 0.7500 0.7500  4 Co 2.66, 4 Re 2.66

Question: What is the raw total energy in the first record?
Answer: -7.691 eV/atom

Question: Number 2 is which compound?
Answer: CoCuReSb